The following is a PBE calculation of an optimized crystal structure of Dy4Zn2CdCu, from Alexandria.

As for the formation energy: -299.2 meV per atom. Its total DFT energy (no corrections) is -3.545 eV/atom. For the magnetization, the calculation gives 0.000 μB per atom.

It has space group R-3m (No. 166, hexagonal axes), with a = 5.0872 Å, b = 5.0872 Å, c = 24.7940 Å, α = 90.00°, β = 90.00° and γ = 120.00°. Symmetry generates all atoms from Dy at (0.0000, 0.0000, 0.1189), Dy at (0.0000, 0.0000, 0.3697), Zn at (0.0000, 0.0000, 0.2455), Cd at (0.0000, 0.0000, 0.5000) and Cu at (0.0000, 0.0000, 0.0000).

The following is a PBE calculation of an optimized crystal structure of Hf3NbCo8, from Alexandria.

As for the formation energy: -316.9 meV per atom. Its total DFT energy (no corrections) is -8.382 eV/atom. For the magnetization, the calculation gives 0.290 μB per atom.

It has space group R3m (No. 160, hexagonal axes), with a = 4.8334 Å, b = 4.8334 Å, c = 23.7129 Å, α = 90.00°, β = 90.00° and γ = 120.00°. Symmetry generates all atoms from Hf at (0.0000, 0.0000, 0.0000), Hf at (0.0000, 0.0000, 0.1266), Hf at (0.0000, 0.0000, 0.6227), Nb at (0.0000, 0.0000, 0.4995), Co at (0.0000, 0.0000, 0.3122), Co at (0.0000, 0.0000, 0.8120), Co at (0.9997, 0.4999, 0.0629) and Co at (0.1673, 0.3346, 0.8950).

The following is a PBE calculation of an optimized crystal structure of Hf2ClO, from Alexandria.

Its energy above the most stable polymorph in this dataset is 2.39 eV/f.u. Its total DFT energy (no corrections) is -7.185 eV/atom. For the magnetization, the calculation gives 0.000 μB per atom. For the uncorrected formation energy, the calculation gives -0.507 eV/atom.

It has space group Fm-3m (No. 225), with a = 6.1684 Å, b = 6.1684 Å, c = 6.1684 Å, α = 90.00°, β = 90.00° and γ = 90.00°. Symmetry generates all atoms from Hf at (0.2500, 0.2500, 0.2500), Cl at (0.0000, 0.0000, 0.0000) and O at (0.0000, 0.0000, 0.5000).

The following is a PBE calculation of an optimized crystal structure of Tm3AlSe2, from Alexandria.

Its total DFT energy (no corrections) is -5.245 eV/atom. For the magnetization, the calculation gives 0.000 μB per atom. For the uncorrected formation energy, the calculation gives -1.224 eV/atom.

It has space group Immm (No. 71), with a = 3.9153 Å, b = 5.7895 Å, c = 12.7432 Å, α = 90.00°, β = 90.00° and γ = 90.00°. Symmetry generates all atoms from Tm at (0.0000, 0.0000, 0.0000), Tm at (0.0000, 0.0000, 0.3303), Al at (0.0000, 0.5000, 0.0000) and Se at (0.0000, 0.5000, 0.3325).

The following is a PBE calculation of an optimized crystal structure of CoHgP2, from Alexandria.

As for the formation energy: 722.5 meV per atom. Its total DFT energy (no corrections) is -3.834 eV/atom. For the magnetization, the calculation gives 0.001 μB per atom.

It has space group P4/mmm (No. 123), with a = 4.1312 Å, b = 4.1312 Å, c = 3.6521 Å, α = 90.00°, β = 90.00° and γ = 90.00°. Symmetry generates all atoms from Co at (0.0000, 0.0000, 0.0000), Hg at (0.5000, 0.5000, 0.0000) and P at (0.0000, 0.5000, 0.5000).

The following is a PBE calculation of an optimized crystal structure of PbAuN3, from Alexandria.

Its total DFT energy (no corrections) is -4.426 eV/atom. For the magnetization, the calculation gives 0.652 μB per atom. For the uncorrected formation energy, the calculation gives 1.966 eV/atom.

It has space group Pm-3m (No. 221), with a = 4.1884 Å, b = 4.1884 Å, c = 4.1884 Å, α = 90.00°, β = 90.00° and γ = 90.00°. Symmetry generates all atoms from Pb at (0.0000, 0.0000, 0.0000), Au at (0.5000, 0.5000, 0.5000) and N at (0.0000, 0.5000, 0.5000).

The following is a PBE calculation of an optimized crystal structure of LaY2Sb, from Alexandria.

Its total DFT energy (no corrections) is -5.999 eV/atom. For the magnetization, the calculation gives 0.000 μB per atom. For the uncorrected formation energy, the calculation gives -0.505 eV/atom.

It has space group Pm (No. 6), with a = 4.1731 Å, b = 5.0151 Å, c = 6.4301 Å, α = 90.00°, β = 108.79° and γ = 90.00°. Symmetry generates all atoms from La at (0.0000, 0.0000, 0.0000), Y at (0.2972, 0.5000, 0.5987), Y at (0.7178, 0.0000, 0.4394) and Sb at (0.5752, 0.5000, 0.1518).

The following is a PBE calculation of an optimized crystal structure of LiVSe3, from Alexandria.

Its energy above the most stable polymorph in this dataset is 0.54 eV/f.u. Its total DFT energy (no corrections) is -4.932 eV/atom. For the magnetization, the calculation gives 0.000 μB per atom. For the uncorrected formation energy, the calculation gives -0.635 eV/atom.

It has space group C2/m (No. 12), with a = 15.7480 Å, b = 3.6046 Å, c = 8.3793 Å, α = 90.00°, β = 106.89° and γ = 90.00°. Symmetry generates all atoms from Li at (0.1527, 0.0000, 0.3499), V at (0.1363, 0.5000, 0.8274), Se at (0.0257, 0.0000, 0.7705), Se at (0.1660, 0.5000, 0.5752) and Se at (0.1872, 0.0000, 0.0528).

The following is a PBE calculation of an optimized crystal structure of Mg2OsF, from Alexandria.

Its energy above the most stable polymorph in this dataset is 1.89 eV/f.u. Its total DFT energy (no corrections) is -4.073 eV/atom. For the magnetization, the calculation gives 0.341 μB per atom. For the uncorrected formation energy, the calculation gives 0.000 eV/atom.

It has space group Fm-3m (No. 225), with a = 6.4116 Å, b = 6.4116 Å, c = 6.4116 Å, α = 90.00°, β = 90.00° and γ = 90.00°. Symmetry generates all atoms from Mg at (0.2500, 0.2500, 0.2500), Os at (0.0000, 0.0000, 0.0000) and F at (0.0000, 0.0000, 0.5000).

The following is a PBE calculation of an optimized crystal structure of V3Ni6Pt, from Alexandria.

As for the formation energy: -97.8 meV per atom. Its total DFT energy (no corrections) is -6.906 eV/atom. For the magnetization, the calculation gives 0.128 μB per atom.

It has space group P2_1/c (No. 14), with a = 5.2300 Å, b = 6.7779 Å, c = 8.6433 Å, α = 90.00°, β = 126.96° and γ = 90.00°. Symmetry generates all atoms from V at (0.0000, 0.0000, 0.0000), V at (0.4340, 0.1725, 0.6792), Ni at (0.0912, 0.6830, 0.8446), Ni at (0.1108, 0.6236, 0.1269), Ni at (0.3678, 0.1225, 0.3711) and Pt at (0.5000, 0.0000, 0.0000).

The following is a PBE calculation of an optimized crystal structure of La2DyHg, from Alexandria.

As for the formation energy: -112.7 meV per atom. Its energy above the most stable polymorph in this dataset is 0.51 eV/f.u. Its total DFT energy (no corrections) is -3.802 eV/atom. For the magnetization, the calculation gives 0.001 μB per atom.

It has space group Amm2 (No. 38), with a = 3.6590 Å, b = 3.5988 Å, c = 19.7413 Å, α = 90.00°, β = 90.00° and γ = 90.00°. Symmetry generates all atoms from La at (0.0000, 0.0000, 0.0000), La at (0.5000, 0.0000, 0.3594), Dy at (0.0000, 0.0000, 0.2064) and Hg at (0.5000, 0.0000, 0.6140).

The following is a PBE calculation of an optimized crystal structure of TeHPd, from Alexandria.

Its energy above the most stable polymorph in this dataset is 0.00 eV/f.u. Its total DFT energy (no corrections) is -4.043 eV/atom. For the magnetization, the calculation gives 0.000 μB per atom.

It has space group P1 (No. 1), with a = 4.0225 Å, b = 4.0282 Å, c = 9.8748 Å, α = 89.48°, β = 78.85° and γ = 60.32°. Symmetry generates all atoms from Te at (0.0000, 0.0000, 0.0000), Te at (0.4127, 0.7803, 0.4110), H at (0.5164, 0.2954, 0.6758), H at (0.5932, 0.1941, 0.7370), Pd at (0.2549, 0.3707, 0.1281) and Pd at (0.8223, 0.0806, 0.2882).

N(E_F) per entry: 21.3, 51.5, 21.9, 2.0, 3.2, 3.1, 3.3, 2.2, 10.9, 21.7, 12.4, 3.1 states/eV/cell